No. 1
Density functional theory data (GGA-PBE) for Se5SO3F after structural relaxation.

The calculation puts the density at 3.4 g/cm3. The raw total energy comes out at -4.530 eV/atom. The uncorrected formation energy is -0.70 eV per atom.

CIF file:
```
data_Se5SO3F
_chemical_formula_sum 'Se40 S8 O24 F8'
_cell_length_a 8.7718
_cell_length_b 13.9273
_cell_length_c 15.9366
_cell_angle_alpha 90.00
_cell_angle_beta 90.00
_cell_angle_gamma 90.00
_space_group_name_H-M_alt 'P 21 21 21'
_space_group_IT_number 19
_space_group_name_Hall 'P 2ac 2ab'
loop_
_atom_site_label
_atom_site_type_symbol
_atom_site_fract_x
_atom_site_fract_y
_atom_site_fract_z
Se1 Se 0.0303 0.1230 0.4928
Se2 Se 0.0652 0.8074 0.4425
Se3 Se 0.0765 0.1250 0.2627
Se4 Se 0.1358 0.6266 0.1380
Se5 Se 0.1457 0.0025 0.8936
Se6 Se 0.1613 0.3925 0.0205
Se7 Se 0.1695 0.9719 0.2775
Se8 Se 0.2281 0.4616 0.1468
Se9 Se 0.2409 0.8404 0.9359
Se10 Se 0.2479 0.1023 0.0067
S1 S 0.0015 0.7988 0.7102
S2 S 0.1067 0.4133 0.4115
O1 O 0.0065 0.3603 0.3558
O2 O 0.0181 0.3446 0.7083
O3 O 0.0427 0.4993 0.4497
O4 O 0.1281 0.3046 0.8461
O5 O 0.1510 0.8119 0.6717
O6 O 0.1981 0.3545 0.4687
F1 F 0.0040 0.6832 0.7353
F2 F 0.2359 0.4572 0.3484
```

***

No. 2
Density functional theory data (GGA-PBE) for Li3Pu3TaSe8 after structural relaxation.

The calculation puts the density at 7.1 g/cm3. The raw total energy comes out at -7.124 eV/atom. The uncorrected formation energy is -1.23 eV per atom.

CIF file:
```
data_Li3Pu3TaSe8
_chemical_formula_sum 'Li6 Pu6 Ta2 Se16'
_cell_length_a 13.7899
_cell_length_b 8.0980
_cell_length_c 7.9640
_cell_angle_alpha 90.00
_cell_angle_beta 124.30
_cell_angle_gamma 90.00
_space_group_name_H-M_alt 'C 1 2/m 1'
_space_group_IT_number 12
_space_group_name_Hall '-C 2y'
loop_
_atom_site_label
_atom_site_type_symbol
_atom_site_fract_x
_atom_site_fract_y
_atom_site_fract_z
Li1 Li 0.0000 0.0000 0.0000
Li2 Li 0.2500 0.2500 0.5000
Pu1 Pu 0.0000 0.5000 0.5000
Pu2 Pu 0.2500 0.2500 0.0000
Ta1 Ta 0.0000 0.0000 0.5000
Se1 Se 0.0045 0.2285 0.2671
Se2 Se 0.2331 0.0000 0.7259
Se3 Se 0.2453 0.0000 0.2531
```

***

No. 3
Density functional theory data (GGA-PBE) for InAgSn after structural relaxation.

The calculation puts the density at 8.0 g/cm3. The raw total energy comes out at -3.134 eV/atom. Its energy of formation is 0.2 eV/f.u.

CIF file:
```
data_InAgSn
_chemical_formula_sum 'In4 Ag4 Sn4'
_cell_length_a 6.3914
_cell_length_b 4.2308
_cell_length_c 10.5187
_cell_angle_alpha 90.00
_cell_angle_beta 90.00
_cell_angle_gamma 90.00
_space_group_name_H-M_alt 'P n m a'
_space_group_IT_number 62
_space_group_name_Hall '-P 2ac 2n'
loop_
_atom_site_label
_atom_site_type_symbol
_atom_site_fract_x
_atom_site_fract_y
_atom_site_fract_z
In1 In 0.1247 0.2500 0.0922
Ag1 Ag 0.1255 0.2500 0.7533
Sn1 Sn 0.1216 0.2500 0.4021
```

***

No. 4
Density functional theory data (GGA-PBE) for NiRhIN2 after structural relaxation.

The calculation puts the density at 4.6 g/cm3. The raw total energy comes out at -5.109 eV/atom. Its energy above the most stable polymorph in this dataset is 0.0 meV/atom. The uncorrected formation energy is 1.16 eV per atom.

CIF file:
```
data_NiRhIN2
_chemical_formula_sum 'Ni1 Rh1 I1 N2'
_cell_length_a 3.7264
_cell_length_b 3.7264
_cell_length_c 8.2128
_cell_angle_alpha 90.00
_cell_angle_beta 90.00
_cell_angle_gamma 90.00
_space_group_name_H-M_alt 'P 4/m m m'
_space_group_IT_number 123
_space_group_name_Hall '-P 4 2'
loop_
_atom_site_label
_atom_site_type_symbol
_atom_site_fract_x
_atom_site_fract_y
_atom_site_fract_z
Ni1 Ni 0.0000 0.0000 0.0000
Rh1 Rh 0.5000 0.5000 0.5000
I1 I 0.5000 0.5000 0.0000
N1 N 0.0000 0.5000 0.5000
```

***

No. 5
Density functional theory data (GGA-PBE) for SbOsPb2 after structural relaxation.

The calculation puts the density at 13.0 g/cm3. The raw total energy comes out at -4.920 eV/atom. The uncorrected formation energy is 0.77 eV per atom.

CIF file:
```
data_SbOsPb2
_chemical_formula_sum 'Sb2 Os2 Pb4'
_cell_length_a 5.0922
_cell_length_b 5.0922
_cell_length_c 7.1615
_cell_angle_alpha 90.00
_cell_angle_beta 90.00
_cell_angle_gamma 90.00
_space_group_name_H-M_alt 'I -4 m 2'
_space_group_IT_number 119
_space_group_name_Hall 'I -4 -2'
loop_
_atom_site_label
_atom_site_type_symbol
_atom_site_fract_x
_atom_site_fract_y
_atom_site_fract_z
Sb1 Sb 0.0000 0.0000 0.0000
Os1 Os 0.0000 0.5000 0.7500
Pb1 Pb 0.0000 0.0000 0.5000
Pb2 Pb 0.0000 0.5000 0.2500
```

***

No. 6
Density functional theory data (GGA-PBE) for La2DyPu after structural relaxation.

The calculation puts the density at 8.7 g/cm3. The raw total energy comes out at -7.054 eV/atom. Its energy of formation is 0.6 eV/f.u. Its energy above the most stable polymorph in this dataset is 31.8 meV/atom.

CIF file:
```
data_La2DyPu
_chemical_formula_sum 'La2 Dy1 Pu1'
_cell_length_a 5.1204
_cell_length_b 5.1204
_cell_length_c 4.9697
_cell_angle_alpha 90.00
_cell_angle_beta 90.00
_cell_angle_gamma 90.00
_space_group_name_H-M_alt 'P 4/m m m'
_space_group_IT_number 123
_space_group_name_Hall '-P 4 2'
loop_
_atom_site_label
_atom_site_type_symbol
_atom_site_fract_x
_atom_site_fract_y
_atom_site_fract_z
La1 La 0.0000 0.5000 0.0000
Dy1 Dy 0.0000 0.0000 0.5000
Pu1 Pu 0.5000 0.5000 0.5000
```

***

No. 7
Density functional theory data (GGA-PBE) for ScCu3H after structural relaxation.

The calculation puts the density at 3.0 g/cm3. The raw total energy comes out at -2.821 eV/atom. Its energy above the most stable polymorph in this dataset is 1468.8 meV/atom.

CIF file:
```
data_ScCu3H
_chemical_formula_sum 'Sc1 Cu3 H1'
_cell_length_a 5.0610
_cell_length_b 5.0610
_cell_length_c 5.0610
_cell_angle_alpha 90.00
_cell_angle_beta 90.00
_cell_angle_gamma 90.00
_space_group_name_H-M_alt 'P m -3 m'
_space_group_IT_number 221
_space_group_name_Hall '-P 4 2 3'
loop_
_atom_site_label
_atom_site_type_symbol
_atom_site_fract_x
_atom_site_fract_y
_atom_site_fract_z
Sc1 Sc 0.0000 0.0000 0.0000
Cu1 Cu 0.0000 0.0000 0.5000
H1 H 0.5000 0.5000 0.5000
```

***

No. 8
Density functional theory data (GGA-PBE) for YTmIn3 after structural relaxation.

The calculation puts the density at 7.5 g/cm3. The raw total energy comes out at -4.168 eV/atom. Its energy of formation is -1.7 eV/f.u. Its energy above the most stable polymorph in this dataset is 0.0 meV/atom.

CIF file:
```
data_YTmIn3
_chemical_formula_sum 'Y6 Tm6 In18'
_cell_length_a 6.3479
_cell_length_b 6.3479
_cell_length_c 22.9423
_cell_angle_alpha 90.00
_cell_angle_beta 90.00
_cell_angle_gamma 120.00
_space_group_name_H-M_alt 'R -3 m'
_space_group_IT_number 166
_space_group_name_Hall '-R 3 2"'
loop_
_atom_site_label
_atom_site_type_symbol
_atom_site_fract_x
_atom_site_fract_y
_atom_site_fract_z
Y1 Y 0.0000 0.0000 0.1657
Tm1 Tm 0.0000 0.0000 0.4203
In1 In 0.0069 0.5035 0.3859
```

***

No. 9
Density functional theory data (GGA-PBE) for Hf2TePd2 after structural relaxation.

The calculation puts the density at 11.2 g/cm3. The raw total energy comes out at -7.166 eV/atom. Its energy above the most stable polymorph in this dataset is 57.8 meV/atom. The uncorrected formation energy is -0.48 eV per atom.

CIF file:
```
data_Hf2TePd2
_chemical_formula_sum 'Hf4 Te2 Pd4'
_cell_length_a 7.5469
_cell_length_b 7.5469
_cell_length_c 3.6318
_cell_angle_alpha 90.00
_cell_angle_beta 90.00
_cell_angle_gamma 90.00
_space_group_name_H-M_alt 'P 4/m b m'
_space_group_IT_number 127
_space_group_name_Hall '-P 4 2ab'
loop_
_atom_site_label
_atom_site_type_symbol
_atom_site_fract_x
_atom_site_fract_y
_atom_site_fract_z
Hf1 Hf 0.1566 0.3434 0.0000
Te1 Te 0.0000 0.0000 0.0000
Pd1 Pd 0.1302 0.6302 0.5000
```

***

No. 10
Density functional theory data (GGA-PBE) for HoHg3Pd6 after structural relaxation.

The calculation puts the density at 13.0 g/cm3. The raw total energy comes out at -4.063 eV/atom. Its energy of formation is -4.0 eV/f.u. Its energy above the most stable polymorph in this dataset is 0.0 meV/atom.

CIF file:
```
data_HoHg3Pd6
_chemical_formula_sum 'Ho2 Hg6 Pd12'
_cell_length_a 8.8584
_cell_length_b 4.3094
_cell_length_c 9.4774
_cell_angle_alpha 90.00
_cell_angle_beta 95.41
_cell_angle_gamma 90.00
_space_group_name_H-M_alt 'P 1 21/m 1'
_space_group_IT_number 11
_space_group_name_Hall '-P 2yb'
loop_
_atom_site_label
_atom_site_type_symbol
_atom_site_fract_x
_atom_site_fract_y
_atom_site_fract_z
Ho1 Ho 0.0625 0.2500 0.3752
Hg1 Hg 0.2455 0.2500 0.0158
Hg2 Hg 0.3438 0.7500 0.8069
Hg3 Hg 0.4485 0.2500 0.6027
Pd1 Pd 0.0538 0.7500 0.9098
Pd2 Pd 0.1474 0.2500 0.7001
Pd3 Pd 0.1516 0.7500 0.2087
Pd4 Pd 0.2474 0.7500 0.5055
Pd5 Pd 0.3607 0.2500 0.3023
Pd6 Pd 0.4520 0.7500 0.0996
```

***

No. 11
Density functional theory data (GGA-PBE) for LiHfAgSn after structural relaxation.

The calculation puts the density at 8.7 g/cm3. The raw total energy comes out at -4.866 eV/atom. Its energy of formation is -0.7 eV/f.u.

CIF file:
```
data_LiHfAgSn
_chemical_formula_sum 'Li4 Hf4 Ag4 Sn4'
_cell_length_a 6.8023
_cell_length_b 6.8023
_cell_length_c 6.8023
_cell_angle_alpha 90.00
_cell_angle_beta 90.00
_cell_angle_gamma 90.00
_space_group_name_H-M_alt 'F -4 3 m'
_space_group_IT_number 216
_space_group_name_Hall 'F -4 2 3'
loop_
_atom_site_label
_atom_site_type_symbol
_atom_site_fract_x
_atom_site_fract_y
_atom_site_fract_z
Li1 Li 0.0000 0.0000 0.0000
Hf1 Hf 0.0000 0.0000 0.5000
Ag1 Ag 0.2500 0.2500 0.7500
Sn1 Sn 0.2500 0.2500 0.2500
```

***

No. 12
Density functional theory data (GGA-PBE) for Ac8CoIrPd2 after structural relaxation.

The calculation puts the density at 8.4 g/cm3. The raw total energy comes out at -5.332 eV/atom. Its energy of formation is -4.8 eV/f.u.

CIF file:
```
data_Ac8CoIrPd2
_chemical_formula_sum 'Ac8 Co1 Ir1 Pd2'
_cell_length_a 7.0894
_cell_length_b 8.7517
_cell_length_c 7.2240
_cell_angle_alpha 90.00
_cell_angle_beta 90.25
_cell_angle_gamma 90.00
_space_group_name_H-M_alt 'P 1 2/m 1'
_space_group_IT_number 10
_space_group_name_Hall '-P 2y'
loop_
_atom_site_label
_atom_site_type_symbol
_atom_site_fract_x
_atom_site_fract_y
_atom_site_fract_z
Ac1 Ac 0.2233 0.2442 0.3354
Ac2 Ac 0.2504 0.0000 0.8210
Ac3 Ac 0.2559 0.5000 0.8277
Co1 Co 0.0000 0.0000 0.5000
Ir1 Ir 0.0000 0.5000 0.5000
Pd1 Pd 0.5000 0.2469 0.0000
```